AcAlAs | PBE | relaxed

Summary:
ΔH_f (0 K) (meV per atom): -660
ΔE to the lowest computed polymorph (kJ/mol of atoms): 2.3
SG: Immm (71)

Lattice parameters (Å, degrees): 5.0848 4.4716 8.2593 105.71 107.93 90.00
Atoms (fractional coordinates):
Ac (0.6475, 0.1475, 0.2949)
Ac (0.3525, 0.8525, 0.7051)
Al (0.7385, 0.5000, 0.0000)
Al (0.2615, 0.5000, 0.0000)
As (0.1434, 0.6434, 0.2868)
As (0.8566, 0.3566, 0.7132)


Ac4AlAsI2 | PBE | relaxed

Summary:
Raw formation energy (eV/atom): -0.937
SG: P2/m (10)

Lattice parameters (Å, degrees): 4.6794 8.0119 8.5568 108.80 90.00 90.00
Atoms (fractional coordinates):
Ac (0.5000, 0.2378, 0.2069)
Ac (0.5000, 0.7622, 0.7931)
Ac (0.0000, 0.2668, 0.7969)
Ac (0.0000, 0.7332, 0.2031)
Al (0.0000, 0.0000, 0.0000)
As (0.5000, 0.5000, 0.0000)
I (0.5000, 0.0000, 0.5000)
I (0.0000, 0.5000, 0.5000)


AcAlAsO5 | PBE | relaxed

Summary:
Raw formation energy (eV/atom): -2.306
SG: C2/c (15)

Lattice parameters (Å, degrees): 5.7104 5.7104 6.9396 99.24 99.24 107.29
Atoms (fractional coordinates):
Ac (0.3312, 0.6688, 0.2500)
Ac (0.6688, 0.3312, 0.7500)
Al (0.0000, 0.0000, 0.5000)
Al (0.0000, 0.0000, 0.0000)
As (0.6799, 0.3201, 0.2500)
As (0.3201, 0.6799, 0.7500)
O (0.0660, 0.9340, 0.2500)
O (0.9340, 0.0660, 0.7500)
O (0.9096, 0.3030, 0.1022)
O (0.0904, 0.6970, 0.8978)
O (0.6970, 0.0904, 0.3978)
O (0.3030, 0.9096, 0.6022)
O (0.7755, 0.6251, 0.4631)
O (0.2245, 0.3749, 0.5369)
O (0.3749, 0.2245, 0.0369)
O (0.6251, 0.7755, 0.9631)


Ac2AlAsPd6 | PBE | relaxed

Summary:
ΔH_f (0 K) (meV per atom): -746
SG: P-1 (2)

Lattice parameters (Å, degrees): 7.1991 6.5625 6.7756 61.03 56.67 89.82
Atoms (fractional coordinates):
Ac (0.6753, 0.2265, 0.5482)
Ac (0.3247, 0.7735, 0.4518)
Al (0.5000, 0.5000, 0.0000)
As (0.0000, 0.0000, 0.0000)
Pd (0.1318, 0.2472, 0.5018)
Pd (0.8125, 0.7374, 0.9491)
Pd (0.1837, 0.6827, 0.0551)
Pd (0.8163, 0.3173, 0.9449)
Pd (0.1875, 0.2626, 0.0509)
Pd (0.8682, 0.7528, 0.4982)